Density functional theory data (PBE+U) for Mg2TiCrF after structural relaxation.

* total moment: 0.49 μB per atom
* E: -4.473 eV per atom
* space-group type: No. 123
* N(E_F): 4.0 states/eV/cell
* V: 17.8 Å³/atom

The structure in POSCAR format:
```
Mg2TiCrF
1.0
4.257 0.000 0.000
0.000 4.257 0.000
0.000 0.000 4.908
Mg Ti Cr F
2 1 1 1
direct
0.000 0.500 0.000 Mg
0.500 0.000 0.000 Mg
0.000 0.000 0.500 Ti
0.500 0.500 0.500 Cr
0.500 0.500 0.000 F
```